Entry from Alexandria via LeMat-Bulk: crystalline Rb2Cd7Au2 at its relaxed geometry (PBE).

The value obtained for the calculated total energy is -0.0528 Ha/atom. The density of states at the Fermi level comes out at 0.343 states/eV/atom.

a = 14.785 Å, b = 9.981 Å, c = 4.924 Å
α = 90.00°, β = 109.30°, γ = 90.00°
Space group C2/m (No. 12)
Asymmetric unit:
Rb (0.000, 0.187, 0.000) x4
Cd (0.000, 0.500, 0.500) x2
Cd (0.222, 0.500, 0.721) x4
Cd (0.229, 0.171, 0.729) x8
Au (0.103, 0.500, 0.102) x4